Nd6In5Sn: relaxed, PBE.

CIF file:
```
data_Nd6In5Sn
_space_group_name_H-M_alt 'C m m m'
_space_group_IT_number 65
_space_group_name_Hall '-C 2 2'
_cell_length_a 5.128
_cell_length_b 15.413
_cell_length_c 8.777
_cell_angle_alpha 90.00
_cell_angle_beta 90.00
_cell_angle_gamma 90.00
loop_
_atom_site_label
_atom_site_fract_x
_atom_site_fract_y
_atom_site_fract_z
_atom_site_occupancy
Nd1 0.000 0.000 0.247 1
Nd2 0.000 0.334 0.250 1
In1 0.000 0.166 0.500 1
In2 0.000 0.171 0.000 1
In3 0.000 0.500 0.500 1
Sn1 0.000 0.500 0.000 1
```

Calculated values
**Magnetic moment**: 0.000 μB per atom
**Final energy**: -105.246 eV/cell
**Crystal system**: orthorhombic

---

ScTaRu: relaxed, PBE.

CIF file:
```
data_ScTaRu
_space_group_name_H-M_alt 'C m m m'
_space_group_IT_number 65
_space_group_name_Hall '-C 2 2'
_cell_length_a 4.553
_cell_length_b 14.144
_cell_length_c 3.236
_cell_angle_alpha 90.00
_cell_angle_beta 90.00
_cell_angle_gamma 90.00
loop_
_atom_site_label
_atom_site_fract_x
_atom_site_fract_y
_atom_site_fract_z
_atom_site_occupancy
Sc1 0.000 0.177 0.000 1
Ta1 0.000 0.000 0.500 1
Ta2 0.000 0.500 0.000 1
Ru1 0.000 0.345 0.500 1
```

Calculated values
**Relative energy among the computed polymorphs**: 0.066 eV per atom
**Magnetic moment**: 0.000 μB per atom
**Crystal system**: orthorhombic

---

KTc2Ir: relaxed, PBE.

CIF file:
```
data_KTc2Ir
_space_group_name_H-M_alt 'C 1 2/m 1'
_space_group_IT_number 12
_cell_length_a 9.298
_cell_length_b 2.806
_cell_length_c 6.571
_cell_angle_alpha 90.00
_cell_angle_beta 95.73
_cell_angle_gamma 90.00
loop_
_space_group_symop_operation_xyz
'x,y,z'
'-x,-y,-z'
'-x,y,-z'
'x,-y,z'
'x+1/2,y+1/2,z'
'-x+1/2,-y+1/2,-z'
'-x+1/2,y+1/2,-z'
'x+1/2,-y+1/2,z'
loop_
_atom_site_label
_atom_site_fract_x
_atom_site_fract_y
_atom_site_fract_z
_atom_site_occupancy
K1 0.000 0.000 0.000 1
Tc1 0.221 0.000 0.646 1
Ir1 0.000 0.500 0.500 1
```

Calculated values
**Relative energy among the computed polymorphs**: 0.207 eV per atom
**Magnetic moment**: 0.000 μB per atom
**Crystal system**: monoclinic

---

Ce2MnNiS5: relaxed, PBE.

CIF file:
```
data_Ce2MnNiS5
_space_group_name_H-M_alt 'C m c 21'
_space_group_IT_number 36
_cell_length_a 3.796
_cell_length_b 15.797
_cell_length_c 11.368
_cell_angle_alpha 90.00
_cell_angle_beta 90.00
_cell_angle_gamma 90.00
loop_
_space_group_symop_operation_xyz
'x,y,z'
'-x,-y,z+1/2'
'-x,y,z'
'x,-y,z+1/2'
'x+1/2,y+1/2,z'
'-x+1/2,-y+1/2,z+1/2'
'-x+1/2,y+1/2,z'
'x+1/2,-y+1/2,z+1/2'
loop_
_atom_site_label
_atom_site_fract_x
_atom_site_fract_y
_atom_site_fract_z
_atom_site_occupancy
Ce1 0.000 0.115 0.000 1
Ce2 0.000 0.126 0.360 1
Mn1 0.000 0.176 0.684 1
Ni1 0.000 0.440 0.086 1
S1 0.000 0.021 0.676 1
S2 0.000 0.306 0.023 1
S3 0.000 0.308 0.337 1
S4 0.000 0.336 0.678 1
S5 0.000 0.499 0.911 1
```

Calculated values
**Formation energy from raw total energies**: -1.34 eV/atom
**Magnetic moment**: 0.569 μB per atom
**Crystal system**: orthorhombic

---

CeSbIr2: relaxed, PBE.

CIF file:
```
data_CeSbIr2
_space_group_name_H-M_alt 'R -3 m'
_space_group_IT_number 166
_space_group_name_Hall '-R 3 2"'
_cell_length_a 4.5206
_cell_length_b 4.5206
_cell_length_c 14.1010
_cell_angle_alpha 90.00
_cell_angle_beta 90.00
_cell_angle_gamma 120.00
loop_
_atom_site_label
_atom_site_fract_x
_atom_site_fract_y
_atom_site_fract_z
_atom_site_occupancy
Ce1 0.0000 0.0000 0.0000 1
Sb1 0.0000 0.0000 0.5000 1
Ir1 0.0000 0.0000 0.2140 1
```

Calculated values
**Formation energy from raw total energies**: -0.47 eV/atom
**Magnetic moment**: 0.000 μB per atom
**Crystal system**: trigonal

---

In4SnHg4: relaxed, PBE.

CIF file:
```
data_In4SnHg4
_space_group_name_H-M_alt 'I 4/m m m'
_space_group_IT_number 139
_space_group_name_Hall '-I 4 2'
_cell_length_a 11.727
_cell_length_b 11.727
_cell_length_c 3.501
_cell_angle_alpha 90.00
_cell_angle_beta 90.00
_cell_angle_gamma 90.00
loop_
_atom_site_label
_atom_site_fract_x
_atom_site_fract_y
_atom_site_fract_z
_atom_site_occupancy
In1 0.166 0.166 0.000 1
Sn1 0.000 0.000 0.500 1
Hg1 0.000 0.335 0.500 1
```

Calculated values
**Magnetic moment**: 0.000 μB per atom
**Final energy**: -31.953 eV/cell
**Crystal system**: tetragonal